Record 1
Here is a relaxed PdPb2Br6 crystal from Alexandria via LeMat-Bulk. Energies are from PBE.

CIF file:
```
data_PdPb2Br6
_cell_length_a 9.961
_cell_length_b 6.966
_cell_length_c 8.214
_cell_angle_alpha 90.00
_cell_angle_beta 90.18
_cell_angle_gamma 90.00
_symmetry_space_group_name_H-M 'P 1 21/c 1'
_symmetry_Int_Tables_number 14
loop_
_symmetry_equiv_pos_as_xyz
'x,y,z'
'-x,-y,-z'
'-x,y+1/2,-z+1/2'
'x,-y+1/2,z+1/2'
loop_
_atom_site_label
_atom_site_type_symbol
_atom_site_fract_x
_atom_site_fract_y
_atom_site_fract_z
Pd1 Pd 0.000 0.000 0.000
Pb1 Pb 0.285 0.048 0.629
Br1 Br 0.073 0.206 0.357
Br2 Br 0.231 0.631 0.478
Br3 Br 0.449 0.168 0.337
```

* excess energy over the best structure of this formula in the dataset: 0.000 eV per atom
* raw formation energy: -0.692 eV per atom
* M_tot: 0.0 μB per cell


Record 2
Here is a relaxed PdPb2Br6 crystal from Alexandria via LeMat-Bulk. Energies are from PBE.

CIF file:
```
data_PdPb2Br6
_cell_length_a 6.888
_cell_length_b 6.888
_cell_length_c 13.092
_cell_angle_alpha 90.00
_cell_angle_beta 90.00
_cell_angle_gamma 90.00
_symmetry_space_group_name_H-M 'P 42/m n m'
_symmetry_Int_Tables_number 136
_symmetry_space_group_name_Hall '-P 4n 2n'
loop_
_atom_site_label
_atom_site_type_symbol
_atom_site_fract_x
_atom_site_fract_y
_atom_site_fract_z
Pd1 Pd 0.000 0.000 0.000
Pb1 Pb 0.000 0.000 0.336
Br1 Br 0.186 0.186 0.151
Br2 Br 0.223 0.223 0.500
```

* density of states at the Fermi level: 0.240 states/eV per atom
* excess energy over the best structure of this formula in the dataset: 0.079 eV per atom
* raw formation energy: -0.613 eV per atom
* M_tot: 3.9 μB per cell


Record 3
Here is a relaxed PdPbBr2 crystal from Alexandria via LeMat-Bulk. Energies are from PBE.

CIF file:
```
data_PdPbBr2
_cell_length_a 5.297
_cell_length_b 5.297
_cell_length_c 17.109
_cell_angle_alpha 90.00
_cell_angle_beta 90.00
_cell_angle_gamma 90.00
_symmetry_space_group_name_H-M 'I -4 2 d'
_symmetry_Int_Tables_number 122
_symmetry_space_group_name_Hall 'I -4 2bw'
loop_
_atom_site_label
_atom_site_type_symbol
_atom_site_fract_x
_atom_site_fract_y
_atom_site_fract_z
Pd1 Pd 0.000 0.000 0.000
Pb1 Pb 0.000 0.000 0.500
Br1 Br 0.204 0.250 0.125
```

* density of states at the Fermi level: 0.000 states/eV per atom
* excess energy over the best structure of this formula in the dataset: 0.000 eV per atom
* raw formation energy: -0.197 eV per atom
* M_tot: 0.0 μB per cell


Record 4
Here is a relaxed PdPbBr4 crystal from Alexandria via LeMat-Bulk. Energies are from PBE.

CIF file:
```
data_PdPbBr4
_cell_length_a 7.259
_cell_length_b 7.259
_cell_length_c 7.723
_cell_angle_alpha 90.00
_cell_angle_beta 90.00
_cell_angle_gamma 90.00
_symmetry_space_group_name_H-M 'I -4'
_symmetry_Int_Tables_number 82
loop_
_symmetry_equiv_pos_as_xyz
'x,y,z'
'y,-x,-z'
'-x,-y,z'
'-y,x,-z'
'x+1/2,y+1/2,z+1/2'
'y+1/2,-x+1/2,-z+1/2'
'-x+1/2,-y+1/2,z+1/2'
'-y+1/2,x+1/2,-z+1/2'
loop_
_atom_site_label
_atom_site_type_symbol
_atom_site_fract_x
_atom_site_fract_y
_atom_site_fract_z
Pd1 Pd 0.000 0.000 0.000
Pb1 Pb 0.000 0.500 0.250
Br1 Br 0.238 0.241 0.999
```

* excess energy over the best structure of this formula in the dataset: 0.000 eV per atom
* raw formation energy: -0.556 eV per atom
* M_tot: 0.0 μB per cell


Record 5
Here is a relaxed PdPb2Br crystal from Alexandria via LeMat-Bulk. Energies are from PBE.

CIF file:
```
data_PdPb2Br
_cell_length_a 7.395
_cell_length_b 7.395
_cell_length_c 7.395
_cell_angle_alpha 90.00
_cell_angle_beta 90.00
_cell_angle_gamma 90.00
_symmetry_space_group_name_H-M 'F m -3 m'
_symmetry_Int_Tables_number 225
_symmetry_space_group_name_Hall '-F 4 2 3'
loop_
_atom_site_label
_atom_site_type_symbol
_atom_site_fract_x
_atom_site_fract_y
_atom_site_fract_z
Pd1 Pd 0.000 0.000 0.000
Pb1 Pb 0.250 0.250 0.250
Br1 Br 0.000 0.000 0.500
```

* density of states at the Fermi level: 0.823 states/eV per atom
* excess energy over the best structure of this formula in the dataset: 0.277 eV per atom
* raw formation energy: -0.028 eV per atom
* M_tot: 0.0 μB per cell


Record 6
Here is a relaxed PdPb2Br crystal from Alexandria via LeMat-Bulk. Energies are from PBE.

CIF file:
```
data_PdPb2Br
_cell_length_a 3.9205
_cell_length_b 3.9205
_cell_length_c 25.0449
_cell_angle_alpha 90.00
_cell_angle_beta 90.00
_cell_angle_gamma 120.00
_symmetry_space_group_name_H-M 'R 3 m'
_symmetry_Int_Tables_number 160
_symmetry_space_group_name_Hall 'R 3 -2"'
loop_
_atom_site_label
_atom_site_type_symbol
_atom_site_fract_x
_atom_site_fract_y
_atom_site_fract_z
Pd1 Pd 0.0000 0.0000 0.0000
Pb1 Pb 0.0000 0.0000 0.4032
Pb2 Pb 0.0000 0.0000 0.5969
Br1 Br 0.0000 0.0000 0.8296
```

* density of states at the Fermi level: 0.332 states/eV per atom
* excess energy over the best structure of this formula in the dataset: 0.000 eV per atom
* raw formation energy: -0.305 eV per atom
* M_tot: 0.0 μB per cell


What is the excess energy over the best structure of this formula in the dataset in the fourth record?
0.000 eV per atom